(1)
This record from Alexandria describes GaReSb2Se after structural relaxation. The functional is PBE-GGA.

Properties
space group = P4/mmm, No. 123
mass density = 7.02 Mg/m³
calculated volume = 136.8 Å³/f.u.
electronic total energy = -19.90 eV for the cell shown

a = 5.379 Å, b = 4.729 Å, c = 5.379 Å
α = 90.00°, β = 90.00°, γ = 90.00°
Each line ends with the local moment (μB).
Element x y z (fractional)
Re1 0.500 0.500 0.500  3.12
Ga1 0.000 0.500 0.000  0.00
Se1 0.000 0.000 0.000  -0.01
Sb1 0.000 0.000 0.500  -0.09
Sb2 0.500 0.000 0.000  -0.11

---

(2)
This record from Alexandria describes SrGaReSb2 after structural relaxation. The functional is PBE-GGA.

Properties
space group = P4/mmm, No. 123
mass density = 6.14 Mg/m³
calculated volume = 158.9 Å³/f.u.
electronic total energy = -23.37 eV for the cell shown

a = 5.150 Å, b = 5.989 Å, c = 5.150 Å
α = 90.00°, β = 90.00°, γ = 90.00°
Element x y z (fractional)
Re1 0.000 0.000 0.000
Ga1 0.500 0.500 0.500
Sr1 0.000 0.500 0.000
Sb1 0.000 0.000 0.500
Sb2 0.500 0.000 0.000

---

(3)
This record from Alexandria describes VGa2ReSb after structural relaxation. The functional is PBE-GGA.

Properties
space group = P4/mmm, No. 123
mass density = 7.47 Mg/m³
calculated volume = 110.8 Å³/f.u.
electronic total energy = -28.27 eV for the cell shown

a = 4.898 Å, b = 4.617 Å, c = 4.898 Å
α = 90.00°, β = 90.00°, γ = 90.00°
Element x y z (fractional)
Re1 0.000 0.000 0.000
V1 0.000 0.500 0.000
Ga1 0.000 0.000 0.500
Ga2 0.500 0.000 0.000
Sb1 0.500 0.500 0.500

---

(4)
This record from Alexandria describes Sc12Ga5Re3 after structural relaxation. The functional is PBE-GGA.

Properties
space group = Ia-3d, No. 230
mass density = 4.90 Mg/m³
calculated volume = 490.6 Å³/f.u.
electronic total energy = -490.52 eV for the cell shown

a = 13.660 Å, b = 13.660 Å, c = 13.660 Å
α = 109.47°, β = 109.47°, γ = 109.47°
Element x y z (fractional)
Re1 0.750 0.375 0.125
Re2 0.875 0.750 0.125
Re3 0.375 0.750 0.625
Re4 0.250 0.125 0.375
Re5 0.875 0.125 0.250
Re6 0.375 0.625 0.250
Re7 0.625 0.375 0.750
Re8 0.125 0.875 0.750
Re9 0.750 0.875 0.625
Re10 0.625 0.250 0.375
Re11 0.125 0.250 0.875
Re12 0.250 0.625 0.875
Ga1 0.125 0.375 0.250
Ga2 0.000 0.500 0.000
Ga3 0.000 0.000 0.000
Ga4 0.375 0.250 0.125
Ga5 0.500 0.000 0.500
Ga6 0.500 0.500 0.000
Ga7 0.125 0.750 0.375
Ga8 0.750 0.125 0.875
Ga9 0.750 0.625 0.375
Ga10 0.375 0.125 0.750
Ga11 0.625 0.875 0.250
Ga12 0.500 0.500 0.500
Ga13 0.500 0.000 0.000
Ga14 0.000 0.000 0.500
Ga15 0.250 0.375 0.625
Ga16 0.250 0.875 0.125
Ga17 0.000 0.500 0.500
Ga18 0.875 0.250 0.625
Ga19 0.625 0.750 0.875
Ga20 0.875 0.625 0.750
Sc1 0.732 0.133 0.066
Sc2 0.334 0.566 0.433
Sc3 0.934 0.367 0.268
Sc4 0.566 0.232 0.133
Sc5 0.599 0.732 0.666
Sc6 0.934 0.567 0.166
Sc7 0.334 0.768 0.401
Sc8 0.067 0.901 0.133
Sc9 0.567 0.934 0.666
Sc10 0.732 0.599 0.166
Sc11 0.768 0.434 0.367
Sc12 0.834 0.933 0.066
Sc13 0.133 0.732 0.566
Sc14 0.367 0.433 0.099
Sc15 0.099 0.933 0.367
Sc16 0.401 0.133 0.567
Sc17 0.099 0.166 0.232
Sc18 0.434 0.666 0.067
Sc19 0.834 0.901 0.268
Sc20 0.133 0.401 0.067
Sc21 0.367 0.934 0.768
Sc22 0.567 0.633 0.401
Sc23 0.933 0.834 0.566
Sc24 0.768 0.334 0.901
Sc25 0.433 0.367 0.599
Sc26 0.067 0.166 0.434
Sc27 0.232 0.666 0.099
Sc28 0.166 0.099 0.732
Sc29 0.633 0.066 0.232
Sc30 0.867 0.599 0.933
Sc31 0.566 0.334 0.933
Sc32 0.599 0.867 0.433
Sc33 0.901 0.834 0.768
Sc34 0.901 0.067 0.633
Sc35 0.867 0.268 0.434
Sc36 0.166 0.067 0.934
Sc37 0.633 0.567 0.901
Sc38 0.433 0.066 0.334
Sc39 0.268 0.401 0.834
Sc40 0.232 0.566 0.633
Sc41 0.933 0.099 0.867
Sc42 0.666 0.232 0.599
Sc43 0.434 0.768 0.867
Sc44 0.066 0.433 0.834
Sc45 0.401 0.268 0.334
Sc46 0.066 0.633 0.732
Sc47 0.666 0.434 0.567
Sc48 0.268 0.867 0.934

---

(5)
This record from Alexandria describes ScGa3Re after structural relaxation. The functional is PBE-GGA.

Properties
space group = Pm-3m, No. 221
mass density = 6.37 Mg/m³
energy above the lowest structure with this stoichiometry = 1558 meV/atom
calculated volume = 114.8 Å³/f.u.
electronic total energy = -19.30 eV for the cell shown

a = 4.861 Å, b = 4.861 Å, c = 4.861 Å
α = 90.00°, β = 90.00°, γ = 90.00°
Each line ends with the local moment (μB).
Element x y z (fractional)
Sc1 0.000 0.000 0.000  0.43
Re1 0.500 0.500 0.500  -0.24
Ga1 0.000 0.500 0.000  0.08
Ga2 0.000 0.000 0.500  0.04
Ga3 0.500 0.000 0.000  0.12

---

(6)
This record from Alexandria describes ScGa2Re after structural relaxation. The functional is PBE-GGA.

Properties
space group = I-42d, No. 122
mass density = 8.43 Mg/m³
energy above the lowest structure with this stoichiometry = 398 meV/atom
calculated volume = 73.0 Å³/f.u.
electronic total energy = -48.14 eV for the cell shown

a = 3.928 Å, b = 3.928 Å, c = 9.868 Å
α = 78.52°, β = 78.52°, γ = 90.00°
Element x y z (fractional)
Sc1 0.500 0.500 0.000
Sc2 0.250 0.750 0.500
Re1 0.000 0.000 0.000
Re2 0.750 0.250 0.500
Ga1 0.661 0.125 0.250
Ga2 0.089 0.625 0.250
Ga3 0.375 0.339 0.750
Ga4 0.875 0.911 0.750

---

(7)
This record from Alexandria describes ScGa2Re after structural relaxation. The functional is PBE-GGA.

Properties
space group = Fm-3m, No. 225
mass density = 9.63 Mg/m³
energy above the lowest structure with this stoichiometry = 0 meV/atom
calculated volume = 63.9 Å³/f.u.
electronic total energy = -25.66 eV for the cell shown

a = 4.487 Å, b = 4.487 Å, c = 4.487 Å
α = 60.00°, β = 60.00°, γ = 60.00°
Element x y z (fractional)
Sc1 0.000 0.000 0.000
Re1 0.500 0.500 0.500
Ga1 0.250 0.250 0.250
Ga2 0.750 0.750 0.750

---

(8)
This record from Alexandria describes Sc2Ga8Re after structural relaxation. The functional is PBE-GGA.

Properties
space group = P4/mmm, No. 123
mass density = 7.16 Mg/m³
calculated volume = 193.5 Å³/f.u.
electronic total energy = -52.94 eV for the cell shown

a = 4.164 Å, b = 4.164 Å, c = 11.159 Å
α = 90.00°, β = 90.00°, γ = 90.00°
Element x y z (fractional)
Sc1 0.000 0.000 0.314
Sc2 0.000 0.000 0.686
Ga1 0.000 0.500 0.500
Ga2 0.500 0.000 0.500
Ga3 0.500 0.500 0.315
Ga4 0.500 0.500 0.685
Ga5 0.000 0.500 0.132
Ga6 0.500 0.000 0.132
Ga7 0.000 0.500 0.868
Ga8 0.500 0.000 0.868
Re1 0.000 0.000 0.000